# 1
Entry from the Alexandria database: BeWSe2 at its PBEsol-relaxed geometry (SCAN).

Values from the calculation:
formation energy without anion corrections = 0.6859 eV per atom
size of the total moment = 0.00 Bohr magnetons per cell

Cell lengths 3.1408, 3.2319, 7.3072 Å; angles 90.00, 90.00, 119.07 degrees
Positions (direct):
Se 0.0000 0.0000 0.2238
Be 0.5000 0.0000 0.0000
Se 0.0000 0.0000 0.7761
W 0.5000 0.0000 0.5000

# 2
Entry from the Alexandria database: H8W3SeN2O12 at its PBEsol-relaxed geometry (SCAN).

Values from the calculation:
total energy = -14.885 eV/atom
size of the total moment = 0.00 Bohr magnetons per cell

Cell lengths 7.2324, 7.2324, 12.1701 Å; angles 90.00, 90.00, 120.00 degrees
Positions (direct):
H 0.7459 0.4922 0.8498
N 0.6667 0.3333 0.2630
O 0.2504 0.1232 0.7792
N 0.3333 0.6667 0.7630
O 0.7496 0.8768 0.2792
H 0.8233 0.4075 0.2341
O 0.8796 0.1251 0.0950
O 0.9155 0.4605 0.6531
O 0.2455 0.1204 0.0950
O 0.5450 0.0845 0.6531
H 0.4922 0.7463 0.3498
W 0.1618 0.8221 0.1059
H 0.2537 0.7459 0.3498
H 0.5925 0.4158 0.2341
W 0.3397 0.1618 0.6059
H 0.6667 0.3333 0.3487
O 0.1204 0.8749 0.5950
W 0.8221 0.6603 0.6059
N 0.3333 0.6667 0.3784
Se 0.0000 0.0000 0.3406
H 0.2541 0.5078 0.3498
O 0.8768 0.1272 0.7792
O 0.7545 0.8796 0.5950
H 0.4075 0.5842 0.7341
O 0.2005 0.7916 0.9676
H 0.7463 0.2541 0.8498
O 0.1232 0.8728 0.2792
O 0.4605 0.5450 0.1531
O 0.1251 0.2455 0.5950
O 0.8728 0.7496 0.7792
W 0.6603 0.8382 0.1059
H 0.6667 0.3333 0.9628
N 0.6667 0.3333 0.8784
Se 0.0000 0.0000 0.8406
O 0.2084 0.4089 0.9676
O 0.7995 0.2084 0.4676
O 0.5395 0.4550 0.6531
O 0.0845 0.5395 0.1531
W 0.1779 0.3397 0.1059
H 0.1767 0.5925 0.7341
H 0.3333 0.6667 0.8487
H 0.3333 0.6667 0.4628
H 0.5842 0.1767 0.2341
O 0.1272 0.2504 0.2792
O 0.4089 0.2005 0.4676
O 0.4550 0.9155 0.1531
H 0.4158 0.8233 0.7341
O 0.7916 0.5911 0.4676
W 0.8382 0.1779 0.6059
H 0.5078 0.2537 0.8498
O 0.8749 0.7545 0.0950
O 0.5911 0.7995 0.9676

# 3
Entry from the Alexandria database: Mg2SnH at its PBEsol-relaxed geometry (SCAN).

Values from the calculation:
total energy = -12.275 eV/atom
size of the total moment = 0.00 Bohr magnetons per cell

Cell lengths 5.3521, 5.3521, 6.6295 Å; angles 113.81, 113.81, 90.00 degrees
Positions (direct):
Mg 0.6250 0.4606 0.7500
Mg 0.7106 0.3750 0.2500
H 0.5000 0.5000 0.0000
Mg 0.1250 0.2894 0.7500
Mg 0.5394 0.8750 0.2500
Sn 0.2500 0.7500 0.5000
H 0.7500 0.2500 0.5000
Sn 0.0000 0.0000 0.0000

# 4
Entry from the Alexandria database: CaY2H2 at its PBEsol-relaxed geometry (SCAN).

Values from the calculation:
total energy = -14.517 eV/atom
size of the total moment = 0.00 Bohr magnetons per cell

Cell lengths 4.3148, 7.0367, 7.0367 Å; angles 90.00, 90.00, 90.00 degrees
Positions (direct):
Ca 0.0000 0.5000 0.5000
H 0.0000 0.3016 0.1984
H 0.0000 0.8016 0.3016
Y 0.5000 0.1673 0.6673
H 0.0000 0.6984 0.8016
Ca 0.0000 0.0000 0.0000
H 0.0000 0.1984 0.6984
Y 0.5000 0.3327 0.1673
Y 0.5000 0.8327 0.3327
Y 0.5000 0.6673 0.8327

# 5
Entry from the Alexandria database: Ba2AsOs at its PBEsol-relaxed geometry (SCAN).

Values from the calculation:
size of the total moment = 0.00 Bohr magnetons per cell
energy of formation from the pure elements = -0.258 eV/atom

Cell lengths 4.3798, 4.8926, 6.0642 Å; angles 113.79, 90.00, 90.00 degrees
Positions (direct):
Ba 0.0000 0.1049 0.2098
Os 0.0000 0.7936 0.5872
Ba 0.5000 0.3966 0.7933
As 0.5000 0.7018 0.4037

# 6
Entry from the Alexandria database: SiTeAu2 at its PBEsol-relaxed geometry (SCAN).

Values from the calculation:
formation energy without anion corrections = -0.0360 eV per atom
energy relative to the lowest polymorph listed for this composition = 0.000 eV/atom
size of the total moment = 0.00 Bohr magnetons per cell

Cell lengths 4.0166, 3.9033, 6.3656 Å; angles 108.96, 90.00, 120.97 degrees
Positions (direct):
Au 0.2670 0.5341 0.2991
Au 0.7330 0.4659 0.7009
Te 0.5000 0.0000 0.0000
Si 0.0000 0.0000 0.5000

# 7
Entry from the Alexandria database: AgH2Pb2 at its PBEsol-relaxed geometry (SCAN).

Values from the calculation:
total energy = -37.523 eV/atom
size of the total moment = 0.00 Bohr magnetons per cell

Cell lengths 3.5342, 3.5342, 7.1438 Å; angles 104.32, 104.32, 90.00 degrees
Positions (direct):
Pb 0.6380 0.6380 0.2760
H 0.2500 0.7500 0.5000
Ag 0.0000 0.0000 0.0000
H 0.7500 0.2500 0.5000
Pb 0.3620 0.3620 0.7240

# 8
Entry from the Alexandria database: POs2Se at its PBEsol-relaxed geometry (SCAN).

Values from the calculation:
formation energy without anion corrections = 0.3737 eV per atom
energy relative to the lowest polymorph listed for this composition = 0.000 eV/atom
size of the total moment = 0.00 Bohr magnetons per cell

Cell lengths 2.9809, 3.0138, 7.0696 Å; angles 102.31, 102.17, 90.00 degrees
Positions (direct):
Se 0.7983 0.2983 0.5966
Os 0.9722 0.9722 0.9445
Os 0.1821 0.6821 0.3642
P 0.5474 0.5474 0.0947

# 9
Entry from the Alexandria database: Cr2CdCu at its PBEsol-relaxed geometry (SCAN).

Values from the calculation:
size of the total moment = 0.00 Bohr magnetons per cell
energy of formation from the pure elements = 0.391 eV/atom

Cell lengths 2.7865, 2.7865, 8.4134 Å; angles 80.47, 80.47, 60.00 degrees
Positions (direct):
Cr 0.7428 0.7428 0.7716
Cr 0.0156 0.0156 0.9533
Cu 0.4913 0.4913 0.5260
Cd 0.2503 0.2503 0.2491

# 10
Entry from the Alexandria database: LiLaAg2 at its PBEsol-relaxed geometry (SCAN).

Values from the calculation:
size of the total moment = 0.00 Bohr magnetons per cell
energy of formation from the pure elements = -0.212 eV/atom

Cell lengths 3.3768, 3.3768, 7.1820 Å; angles 90.00, 90.00, 90.00 degrees
Positions (direct):
Li 0.5000 0.5000 0.5000
La 0.5000 0.5000 0.0000
Ag 0.0000 0.0000 0.6951
Ag 0.0000 0.0000 0.3049

# 11
Entry from the Alexandria database: TaPAu2 at its PBEsol-relaxed geometry (SCAN).

Values from the calculation:
size of the total moment = 0.00 Bohr magnetons per cell
energy of formation from the pure elements = 0.085 eV/atom

Cell lengths 2.9045, 4.4820, 5.1942 Å; angles 90.00, 105.29, 90.00 degrees
Positions (direct):
Au 0.1451 0.0000 0.7608
P 0.5000 0.5000 0.0000
Au 0.8549 0.0000 0.2392
Ta 0.5000 0.5000 0.5000

# 12
Entry from the Alexandria database: LaZrAs2 at its PBEsol-relaxed geometry (SCAN).

Values from the calculation:
energy relative to the lowest polymorph listed for this composition = 0.000 eV/atom
size of the total moment = 0.00 Bohr magnetons per cell
energy of formation from the pure elements = -1.497 eV/atom

Cell lengths 4.0148, 4.0148, 7.1134 Å; angles 73.61, 73.61, 60.00 degrees
Positions (direct):
As 0.7404 0.7404 0.7789
La 0.5000 0.5000 0.5000
Zr 0.0000 0.0000 0.0000
As 0.2596 0.2596 0.2211

# 13
Entry from the Alexandria database: Ga3PtBr at its PBEsol-relaxed geometry (SCAN).

Values from the calculation:
formation energy without anion corrections = -0.6811 eV per atom
size of the total moment = 0.00 Bohr magnetons per cell

Cell lengths 4.8172, 4.8172, 4.8172 Å; angles 90.00, 90.00, 90.00 degrees
Positions (direct):
Pt 0.0000 0.0000 0.0000
Br 0.5000 0.5000 0.5000
Ga 0.5000 0.0000 0.0000
Ga 0.0000 0.5000 0.0000
Ga 0.0000 0.0000 0.5000

# 14
Entry from the Alexandria database: Sc2CdNi at its PBEsol-relaxed geometry (SCAN).

Values from the calculation:
size of the total moment = 0.00 Bohr magnetons per cell
energy of formation from the pure elements = -0.209 eV/atom

Cell lengths 3.3213, 3.3213, 8.4480 Å; angles 78.66, 78.66, 60.00 degrees
Positions (direct):
Sc 0.7345 0.7345 0.7964
Ni 0.0000 0.0000 0.0000
Cd 0.5000 0.5000 0.5000
Sc 0.2655 0.2655 0.2036

# 15
Entry from the Alexandria database: Li3LaRh at its PBEsol-relaxed geometry (SCAN).

Values from the calculation:
size of the total moment = 0.73 Bohr magnetons per cell
energy of formation from the pure elements = 0.083 eV/atom

Cell lengths 4.6593, 4.6593, 4.6593 Å; angles 90.00, 90.00, 90.00 degrees
Each line ends with the local moment (μB).
Positions (direct):
Rh 0.0000 0.0000 0.0000  -0.09
Li 0.0000 0.0000 0.5000  0.02
La 0.5000 0.5000 0.5000  0.19
Li 0.0000 0.5000 0.0000  0.02
Li 0.5000 0.0000 0.0000  0.02

# 16
Entry from the Alexandria database: MgTl at its PBEsol-relaxed geometry (SCAN).

Values from the calculation:
size of the total moment = 0.00 Bohr magnetons per cell
energy of formation from the pure elements = -0.129 eV/atom

Cell lengths 3.4546, 3.4546, 5.0578 Å; angles 70.03, 70.03, 60.00 degrees
Positions (direct):
Tl 0.5000 0.5000 0.5000
Mg 0.0000 0.0000 0.0000

# 17
Entry from the Alexandria database: Al8In at its PBEsol-relaxed geometry (SCAN).

Values from the calculation:
size of the total moment = 0.04 Bohr magnetons per cell
energy of formation from the pure elements = 0.059 eV/atom

Cell lengths 4.0523, 6.5086, 6.5086 Å; angles 84.44, 71.86, 71.86 degrees
Positions (direct):
In 0.0000 0.0000 0.0000
Al 0.0000 0.6612 0.3388
Al 0.3272 0.3457 0.0000
Al 0.0000 0.3388 0.6612
Al 0.6728 0.0000 0.6543
Al 0.3388 0.6612 0.6612
Al 0.6612 0.3388 0.3388
Al 0.3272 0.0000 0.3457
Al 0.6728 0.6543 0.0000

# 18
Entry from the Alexandria database: LiGd2Ru at its PBEsol-relaxed geometry (SCAN).

Values from the calculation:
size of the total moment = 14.71 Bohr magnetons per cell
energy of formation from the pure elements = -0.236 eV/atom

Cell lengths 4.8735, 4.8735, 4.8735 Å; angles 60.00, 60.00, 60.00 degrees
Each line ends with the local moment (μB).
Positions (direct):
Gd 0.7500 0.7500 0.7500  7.26
Gd 0.2500 0.2500 0.2500  7.26
Li 0.0000 0.0000 0.0000  0.03
Ru 0.5000 0.5000 0.5000  -0.51

# 19
Entry from the Alexandria database: Li4Al3Cu6 at its PBEsol-relaxed geometry (SCAN).

Values from the calculation:
size of the total moment = 0.00 Bohr magnetons per cell
energy of formation from the pure elements = -0.242 eV/atom

Cell lengths 4.8114, 4.8114, 17.4033 Å; angles 90.00, 90.00, 120.00 degrees
Positions (direct):
Cu 0.1684 0.8316 0.1169
Cu 0.8316 0.1684 0.8831
Al 0.3333 0.6667 0.6724
Cu 0.1684 0.8316 0.3831
Cu 0.8316 0.6632 0.8831
Cu 0.1684 0.3368 0.1169
Li 0.3333 0.6667 0.2500
Al 0.0000 0.0000 0.5000
Li 0.0000 0.0000 0.7500
Li 0.0000 0.0000 0.2500
Al 0.3333 0.6667 0.8276
Li 0.6667 0.3333 0.0219
Cu 0.3368 0.1684 0.6169
Li 0.6667 0.3333 0.4781
Cu 0.8316 0.6632 0.6169
Cu 0.1684 0.3368 0.3831
Al 0.6667 0.3333 0.3276
Cu 0.3368 0.1684 0.8831
Li 0.3333 0.6667 0.5219
Cu 0.8316 0.1684 0.6169
Al 0.6667 0.3333 0.1724
Al 0.0000 0.0000 0.0000
Li 0.3333 0.6667 0.9781
Cu 0.6632 0.8316 0.1169
Cu 0.6632 0.8316 0.3831
Li 0.6667 0.3333 0.7500

# 20
Entry from the Alexandria database: Ba2YTi3O8 at its PBEsol-relaxed geometry (SCAN).

Values from the calculation:
formation energy without anion corrections = -3.3113 eV per atom
size of the total moment = 0.00 Bohr magnetons per cell

Cell lengths 3.9519, 3.9519, 11.3402 Å; angles 90.00, 90.00, 90.00 degrees
Positions (direct):
O 0.0000 0.5000 0.6281
Ti 0.0000 0.0000 0.0000
O 0.0000 0.5000 0.3719
O 0.5000 0.0000 0.0000
Ba 0.5000 0.5000 0.1714
O 0.0000 0.0000 0.1826
Y 0.5000 0.5000 0.5000
O 0.0000 0.5000 0.0000
Ti 0.0000 0.0000 0.3541
Ba 0.5000 0.5000 0.8286
O 0.0000 0.0000 0.8174
Ti 0.0000 0.0000 0.6459
O 0.5000 0.0000 0.6281
O 0.5000 0.0000 0.3719